Entry 1:
Material: Ba2CrCdSi
Method: DFT, PBE
State: relaxed

The structure in POSCAR format:
```
Ba2CrCdSi
1.0
6.544 0.000 0.000
0.000 6.544 0.000
0.000 0.000 4.785
Ba Cr Cd Si
2 1 1 1
direct
0.000 0.500 0.000 Ba
0.500 0.000 0.000 Ba
0.000 0.000 0.500 Cr
0.500 0.500 0.000 Cd
0.500 0.500 0.500 Si
```

* ΔE_f (raw): 573.5 meV/atom
* symmetry: P4/mmm
* Fermi-level density of states: 3.5 states/eV per cell

---

Entry 2:
Material: BaCr2CdTc
Method: DFT, PBE
State: relaxed

The structure in POSCAR format:
```
BaCr2CdTc
1.0
5.340 0.000 0.000
0.000 5.340 0.000
0.000 0.000 5.810
Ba Cr Cd Tc
1 2 1 1
direct
0.000 0.000 0.000 Ba
0.000 0.500 0.000 Cr
0.500 0.000 0.000 Cr
0.000 0.000 0.500 Cd
0.500 0.500 0.500 Tc
```

* energy of formation: 2.605 eV/atom
* symmetry: P4/mmm
* Fermi-level density of states: 6.6 states/eV per cell

---

Entry 3:
Material: CsBaCd3
Method: DFT, PBE
State: relaxed

The structure in POSCAR format:
```
CsBaCd3
1.0
6.416 0.000 0.000
0.000 6.416 0.000
0.000 0.000 6.416
Cs Ba Cd
1 1 3
direct
0.000 0.000 0.000 Cs
0.500 0.500 0.500 Ba
0.000 0.000 0.500 Cd
0.000 0.500 0.000 Cd
0.500 0.000 0.000 Cd
```

* energy of formation: 0.392 eV/atom
* symmetry: Pm-3m
* Fermi-level density of states: 4.2 states/eV per cell

---

Please write out number 2 again, unchanged.
Material: BaCr2CdTc
Method: DFT, PBE
State: relaxed

The structure in POSCAR format:
```
BaCr2CdTc
1.0
5.340 0.000 0.000
0.000 5.340 0.000
0.000 0.000 5.810
Ba Cr Cd Tc
1 2 1 1
direct
0.000 0.000 0.000 Ba
0.000 0.500 0.000 Cr
0.500 0.000 0.000 Cr
0.000 0.000 0.500 Cd
0.500 0.500 0.500 Tc
```

* energy of formation: 2.605 eV/atom
* symmetry: P4/mmm
* Fermi-level density of states: 6.6 states/eV per cell

---

- What is the formula in the third record?
  CsBaCd3